1.
First-principles (PBE) data for a relaxed La2CePm6Y3 crystal, as listed in Alexandria.

a b c (Å): 6.3128 6.3128 12.0477
angles (deg): 95.03 95.03 120.05
Sites, in units of the cell vectors:
La: 0.3336 0.6664 0.0000
La: 0.6664 0.3336 0.0000
Ce: 0.0000 0.0000 0.0000
Pm: 0.9155 0.5854 0.7475
Pm: 0.7543 0.7543 0.2525
Pm: 0.0845 0.4146 0.2525
Pm: 0.5854 0.9155 0.7475
Pm: 0.2457 0.2457 0.7475
Pm: 0.4146 0.0845 0.2525
Y: 0.1666 0.8334 0.5000
Y: 0.8334 0.1666 0.5000
Y: 0.5000 0.5000 0.5000

Results
As for the volume: 409.2 Å³/cell.


2.
First-principles (PBE) data for a relaxed Tm7MgAl4 crystal, as listed in Alexandria.

a b c (Å): 5.5286 8.7809 7.4427
angles (deg): 68.61 68.20 71.65
Sites, in units of the cell vectors:
Tm: 0.8048 0.8713 0.5191
Tm: 0.1952 0.1287 0.4809
Tm: 0.0824 0.5744 0.2607
Tm: 0.9176 0.4256 0.7393
Tm: 0.2534 0.7101 0.7831
Tm: 0.5000 0.0000 0.0000
Tm: 0.7466 0.2899 0.2169
Mg: 0.0000 0.0000 0.0000
Al: 0.5281 0.3264 0.6174
Al: 0.4719 0.6736 0.3826
Al: 0.6732 0.6589 0.9947
Al: 0.3268 0.3411 0.0053

Results
As for the volume: 305.6 Å³/cell.


| no. | energy relative to the elements (eV per atom) | VASP energy (eV per formula unit) |
| --- | --- | --- |
| 1 | 0.04 | -63.21 |
| 2 | -0.05 | -48.50 |